First-principles (PBE with a Hubbard U) data for a geometry-optimized MnNiO2F structure, as listed in the Alexandria database.

## Properties
SG = P4/mmm (123)
Final energy = -4.95 eV/atom
Spin magnetization = 1.2000 μB per atom

```
5
Lattice="3.5039 0.0000 0.0000 0.0000 3.5039 0.0000 0.0000 0.0000 5.1457" Properties=species:S:1:pos:R:3 pbc="T T T"
O 0.0000 1.7519 0.0000
Mn 0.0000 0.0000 2.5728
Ni 0.0000 0.0000 0.0000
F 1.7519 1.7519 2.5728
O 1.7519 0.0000 0.0000
```